[1]
Ca2HfInMo | GGA-PBE | relaxed

Cell: 5.4364 5.4364 5.2054 Å, 90.00 90.00 90.00°
Fractional coordinates of all 5 atoms:
1 Ca 0.0000 0.5000 0.0000
2 Ca 0.5000 0.0000 0.0000
3 Hf 0.0000 0.0000 0.5000
4 In 0.5000 0.5000 0.0000
5 Mo 0.5000 0.5000 0.5000

Output
* ΔE_f: 6.64 eV/f.u.
* SG: P4/mmm, No. 123
* calculated volume: 30.77 Å³ per atom

=====

[2]
Np3Sb4Pd7 | GGA-PBE | relaxed

Cell: 8.4458 8.4458 9.9623 Å, 125.55 125.55 30.55°
Fractional coordinates of all 14 atoms:
1 Np 0.0000 0.0000 0.0000
2 Np 0.3188 0.3188 0.3087
3 Np 0.6812 0.6812 0.6913
4 Sb 0.1184 0.1184 0.3928
5 Sb 0.3383 0.3383 0.9609
6 Sb 0.6617 0.6617 0.0391
7 Sb 0.8816 0.8816 0.6072
8 Pd 0.0000 0.0000 0.5000
9 Pd 0.1383 0.1383 0.8624
10 Pd 0.3164 0.3164 0.6757
11 Pd 0.4981 0.4981 0.3041
12 Pd 0.5019 0.5019 0.6959
13 Pd 0.6836 0.6836 0.3243
14 Pd 0.8617 0.8617 0.1376

Output
* SG: C2/m, No. 12
* calculated volume: 20.58 Å³ per atom
* raw formation energy: -0.449 eV/atom

=====

[3]
CoNi14Rh | GGA-PBE | relaxed

Cell: 8.1869 5.0256 5.0256 Å, 59.96 90.00 90.00°
Fractional coordinates of all 16 atoms:
1 Co 0.0000 0.0000 0.0000
2 Ni 0.0000 0.0006 0.5030
3 Ni 0.0000 0.5030 0.0006
4 Ni 0.2488 0.1665 0.1665
5 Ni 0.2525 0.1643 0.6693
6 Ni 0.2525 0.6693 0.1643
7 Ni 0.2537 0.6684 0.6684
8 Ni 0.5000 0.3335 0.3335
9 Ni 0.5000 0.3336 0.8348
10 Ni 0.5000 0.8342 0.8342
11 Ni 0.5000 0.8348 0.3336
12 Ni 0.7463 0.6684 0.6684
13 Ni 0.7475 0.1643 0.6693
14 Ni 0.7475 0.6693 0.1643
15 Ni 0.7512 0.1665 0.1665
16 Rh 0.0000 0.5014 0.5014

Output
* ΔE_f: 0.28 eV/f.u.
* SG: Amm2, No. 38
* calculated volume: 11.19 Å³ per atom

=====

[4]
PuBePdO5 | GGA-PBE | relaxed

Cell: 5.4091 5.4091 7.7694 Å, 101.10 101.10 109.51°
Fractional coordinates of all 16 atoms:
1 Pu 0.0000 0.5000 0.0000
2 Pu 0.5000 0.0000 0.5000
3 Be 0.0538 0.9462 0.7500
4 Be 0.9462 0.0538 0.2500
5 Pd 0.4336 0.5664 0.7500
6 Pd 0.5664 0.4336 0.2500
7 O 0.1599 0.8105 0.9099
8 O 0.1653 0.2810 0.8290
9 O 0.1895 0.8401 0.5901
10 O 0.2810 0.1653 0.3290
11 O 0.3435 0.6565 0.2500
12 O 0.6565 0.3435 0.7500
13 O 0.7190 0.8347 0.6710
14 O 0.8105 0.1599 0.4099
15 O 0.8347 0.7190 0.1710
16 O 0.8401 0.1895 0.0901

Output
* SG: C2/c, No. 15
* calculated volume: 12.63 Å³ per atom
* raw formation energy: -1.900 eV/atom

=====

[5]
DyErBeGa | GGA-PBE | relaxed

Cell: 6.9554 6.9554 6.9554 Å, 90.00 90.00 90.00°
Fractional coordinates of all 16 atoms:
1 Dy 0.0000 0.0000 0.0000
2 Dy 0.0000 0.5000 0.5000
3 Dy 0.5000 0.0000 0.5000
4 Dy 0.5000 0.5000 0.0000
5 Er 0.0000 0.0000 0.5000
6 Er 0.0000 0.5000 0.0000
7 Er 0.5000 0.0000 0.0000
8 Er 0.5000 0.5000 0.5000
9 Be 0.2500 0.2500 0.2500
10 Be 0.2500 0.7500 0.7500
11 Be 0.7500 0.2500 0.7500
12 Be 0.7500 0.7500 0.2500
13 Ga 0.2500 0.2500 0.7500
14 Ga 0.2500 0.7500 0.2500
15 Ga 0.7500 0.2500 0.2500
16 Ga 0.7500 0.7500 0.7500

Output
* ΔE_f: -0.98 eV/f.u.
* SG: F-43m, No. 216
* calculated volume: 21.03 Å³ per atom

=====

[6]
Cd2AgHg | GGA-PBE | relaxed

Cell: 3.4661 4.9267 10.0129 Å, 90.00 90.00 90.00°
Fractional coordinates of all 8 atoms:
1 Cd 0.0000 0.0000 0.2385
2 Cd 0.0000 0.0000 0.7615
3 Cd 0.5000 0.5000 0.2615
4 Cd 0.5000 0.5000 0.7385
5 Ag 0.0000 0.5000 0.5000
6 Ag 0.5000 0.0000 0.0000
7 Hg 0.0000 0.5000 0.0000
8 Hg 0.5000 0.0000 0.5000

Output
* ΔE_f: 0.19 eV/f.u.
* SG: Immm, No. 71
* calculated volume: 21.37 Å³ per atom

=====

[7]
TiTl3Sb | GGA-PBE | relaxed

Cell: 5.4540 5.4540 5.4540 Å, 90.00 90.00 90.00°
Fractional coordinates of all 5 atoms:
1 Ti 0.0000 0.0000 0.0000
2 Tl 0.0000 0.0000 0.5000
3 Tl 0.0000 0.5000 0.0000
4 Tl 0.5000 0.0000 0.0000
5 Sb 0.5000 0.5000 0.5000

Output
* SG: Pm-3m, No. 221
* calculated volume: 32.45 Å³ per atom
* raw formation energy: 0.559 eV/atom
* energy above the most stable polymorph in this dataset: 0.0 kJ/mol of formula units

=====

[8]
Sr3SbAs2Au6 | GGA-PBE | relaxed

Cell: 6.5489 6.5489 8.6091 Å, 90.00 90.00 120.00°
Fractional coordinates of all 12 atoms:
1 Sr 0.0000 0.0000 0.0000
2 Sr 0.3333 0.6667 0.6531
3 Sr 0.6667 0.3333 0.3469
4 Sb 0.0000 0.0000 0.5000
5 As 0.3333 0.6667 0.0702
6 As 0.6667 0.3333 0.9298
7 Au 0.1774 0.3548 0.2847
8 Au 0.1774 0.8226 0.2847
9 Au 0.3548 0.1774 0.7153
10 Au 0.6452 0.8226 0.2847
11 Au 0.8226 0.1774 0.7153
12 Au 0.8226 0.6452 0.7153

Output
* SG: P-3m1, No. 164
* calculated volume: 26.65 Å³ per atom
* raw formation energy: -0.478 eV/atom

=====

[9]
Al8V2Ru | GGA-PBE | relaxed

Cell: 8.8811 8.8811 5.4877 Å, 103.16 103.16 24.97°
Fractional coordinates of all 11 atoms:
1 Al 0.0340 0.0340 0.2953
2 Al 0.2161 0.2161 0.0969
3 Al 0.3628 0.3628 0.7190
4 Al 0.3944 0.3944 0.2501
5 Al 0.6056 0.6056 0.7499
6 Al 0.6372 0.6372 0.2810
7 Al 0.7839 0.7839 0.9031
8 Al 0.9660 0.9660 0.7047
9 V 0.2032 0.2032 0.5859
10 V 0.7968 0.7968 0.4141
11 Ru 0.5000 0.5000 0.0000

Output
* ΔE_f: -2.03 eV/f.u.
* SG: C2/m, No. 12
* calculated volume: 16.15 Å³ per atom

=====

[10]
TaB2Se | GGA-PBE | relaxed

Cell: 5.4230 5.4230 7.8425 Å, 90.00 90.00 90.00°
Fractional coordinates of all 16 atoms:
1 Ta 0.0000 0.0000 0.0000
2 Ta 0.0000 0.5000 0.2500
3 Ta 0.5000 0.0000 0.7500
4 Ta 0.5000 0.5000 0.5000
5 B 0.2176 0.2500 0.6250
6 B 0.2500 0.7176 0.8750
7 B 0.2500 0.7824 0.3750
8 B 0.2824 0.2500 0.1250
9 B 0.7176 0.7500 0.1250
10 B 0.7500 0.2176 0.3750
11 B 0.7500 0.2824 0.8750
12 B 0.7824 0.7500 0.6250
13 Se 0.0000 0.0000 0.5000
14 Se 0.0000 0.5000 0.7500
15 Se 0.5000 0.0000 0.2500
16 Se 0.5000 0.5000 0.0000

Output
* SG: I-42d, No. 122
* calculated volume: 14.42 Å³ per atom
* raw formation energy: 0.757 eV/atom

=====

[11]
KTc2Rh | GGA-PBE | relaxed

Cell: 3.2706 3.2706 7.9769 Å, 90.00 90.00 90.00°
Fractional coordinates of all 4 atoms:
1 K 0.0000 0.0000 0.0000
2 Tc 0.5000 0.5000 0.3487
3 Tc 0.5000 0.5000 0.6513
4 Rh 0.0000 0.0000 0.5000

Output
* ΔE_f: 3.69 eV/f.u.
* SG: P4/mmm, No. 123
* calculated volume: 21.33 Å³ per atom
* energy above the most stable polymorph in this dataset: 138.7 kJ/mol of formula units